[1]
Entry from the Alexandria database: a relaxed Al2SbAs crystal (PBE-GGA).

Unit cell a=7.073 b=7.073 c=7.073 alpha=31.35 beta=31.35 gamma=31.35
Fractional positions:
Al 0.239 0.239 0.239
Al 0.761 0.761 0.761
Sb 0.000 0.000 0.000
As 0.500 0.500 0.500

* D(E_F): 1.558 states/eV/cell
* offset from the most stable computed form: 216 meV/atom
* ΔE_f (raw): -0.095 eV per atom
* spin magnetization: 0.00 μB per cell

[2]
Entry from the Alexandria database: a relaxed AlSb2As crystal (PBE-GGA).

Unit cell a=3.097 b=5.391 c=5.790 alpha=90.00 beta=91.35 gamma=90.00
Fractional positions:
Al 0.000 0.000 0.000
Sb 0.413 0.500 0.004
Sb 0.862 0.000 0.502
As 0.560 0.500 0.491

* D(E_F): 1.386 states/eV/cell
* offset from the most stable computed form: 121 meV/atom
* ΔE_f (raw): 0.131 eV per atom
* spin magnetization: 0.00 μB per cell

[3]
Entry from the Alexandria database: a relaxed AlSb3As crystal (PBE-GGA).

Unit cell a=5.222 b=5.222 c=5.222 alpha=90.00 beta=90.00 gamma=90.00
Fractional positions:
Al 0.000 0.000 0.000
Sb 0.000 0.000 0.500
Sb 0.000 0.500 0.000
Sb 0.500 0.000 0.000
As 0.500 0.500 0.500

* D(E_F): 4.718 states/eV/cell
* offset from the most stable computed form: 0 meV/atom
* ΔE_f (raw): 0.705 eV per atom
* spin magnetization: 0.00 μB per cell

[4]
Entry from the Alexandria database: a relaxed AlSbAs2 crystal (PBE-GGA).

Unit cell a=6.117 b=6.117 c=6.117 alpha=141.90 beta=141.90 gamma=54.99
Fractional positions:
Al 0.000 0.000 0.000
Sb 0.750 0.250 0.500
As 0.250 0.750 0.500
As 0.500 0.500 0.000

* D(E_F): 1.838 states/eV/cell
* offset from the most stable computed form: 342 meV/atom
* ΔE_f (raw): 0.290 eV per atom
* spin magnetization: 0.00 μB per cell

[5]
Entry from the Alexandria database: a relaxed AlSbAs2 crystal (PBE-GGA).

Unit cell a=3.549 b=4.809 c=4.860 alpha=90.00 beta=90.00 gamma=90.00
Fractional positions:
Al 0.000 0.000 0.000
Sb 0.500 0.000 0.500
As 0.000 0.500 0.500
As 0.500 0.500 0.000

* D(E_F): 2.162 states/eV/cell
* offset from the most stable computed form: 347 meV/atom
* ΔE_f (raw): 0.295 eV per atom
* spin magnetization: 0.00 μB per cell

[6]
Entry from the Alexandria database: a relaxed AlSb2As crystal (PBE-GGA).

Unit cell a=7.916 b=7.916 c=7.916 alpha=133.11 beta=133.11 gamma=68.48
Fractional positions:
Al 0.000 0.000 0.000
Al 0.750 0.250 0.500
Sb 0.108 0.625 0.983
Sb 0.375 0.358 0.483
Sb 0.642 0.125 0.017
Sb 0.875 0.892 0.517
As 0.250 0.750 0.500
As 0.500 0.500 0.000

* D(E_F): 1.048 states/eV/cell
* offset from the most stable computed form: 142 meV/atom
* ΔE_f (raw): 0.152 eV per atom
* spin magnetization: 0.00 μB per cell

[7]
Entry from the Alexandria database: a relaxed Al2SbAs crystal (PBE-GGA).

Unit cell a=4.680 b=4.680 c=3.700 alpha=90.00 beta=90.00 gamma=90.00
Fractional positions:
Al 0.000 0.500 0.000
Al 0.500 0.000 0.000
Sb 0.000 0.000 0.500
As 0.500 0.500 0.500

* D(E_F): 2.112 states/eV/cell
* offset from the most stable computed form: 527 meV/atom
* ΔE_f (raw): 0.216 eV per atom
* spin magnetization: 0.00 μB per cell

[8]
Entry from the Alexandria database: a relaxed Al2SbAs crystal (PBE-GGA).

Unit cell a=4.103 b=5.142 c=4.108 alpha=90.00 beta=96.37 gamma=90.00
Fractional positions:
Al 0.000 0.000 0.000
Al 0.291 0.500 0.713
Sb 0.816 0.500 0.188
As 0.417 0.000 0.585

* D(E_F): 1.252 states/eV/cell
* offset from the most stable computed form: 254 meV/atom
* ΔE_f (raw): -0.058 eV per atom
* spin magnetization: 0.00 μB per cell